1.
Density functional theory data (GGA-PBE) for a geometry-optimized NbAlNiW structure.

Cell lengths 4.4065, 4.4065, 4.4065 Å; angles 60.00, 60.00, 60.00 degrees
With the nearest neighbours (Å) after each atom.
Fractional positions:
1 Al 0.0000 0.0000 0.0000  4 Ni 2.70, 4 Nb 2.70
2 Nb 0.2500 0.2500 0.2500  4 W 2.70, 4 Al 2.70
3 Ni 0.7500 0.7500 0.7500  4 W 2.70, 4 Al 2.70
4 W 0.5000 0.5000 0.5000  4 Ni 2.70, 4 Nb 2.70

Output
Space group: No. 216
E, eV/atom: -7.97

2.
Density functional theory data (GGA-PBE) for a geometry-optimized YNbAlNi structure.

Cell lengths 4.6942, 4.6942, 4.6942 Å; angles 60.00, 60.00, 60.00 degrees
With the nearest neighbours (Å) after each atom.
Fractional positions:
1 Al 0.0000 0.0000 0.0000  4 Nb 2.87, 4 Ni 2.87
2 Nb 0.2500 0.2500 0.2500  4 Al 2.87, 4 Y 2.87
3 Ni 0.7500 0.7500 0.7500  4 Y 2.87, 4 Al 2.87
4 Y 0.5000 0.5000 0.5000  4 Ni 2.87, 4 Nb 2.87

Output
Space group: No. 216
E, eV/atom: -6.36

3.
Density functional theory data (GGA-PBE) for a geometry-optimized NpNbAl structure.

Cell lengths 4.5346, 4.5346, 4.5346 Å; angles 60.00, 60.00, 60.00 degrees
With the nearest neighbours (Å) after each atom.
Fractional positions:
1 Al 0.2500 0.2500 0.2500  4 Np 2.78
2 Nb 0.7500 0.7500 0.7500  4 Np 2.78
3 Np 0.0000 0.0000 0.0000  4 Al 2.78, 4 Nb 2.78

Output
Energy above the most stable polymorph in this dataset, eV/f.u.: 1.77
Space group: No. 216
E, eV/atom: -7.63

4.
Density functional theory data (GGA-PBE) for a geometry-optimized NpNbAl structure.

Cell lengths 4.5220, 4.5220, 4.5220 Å; angles 60.00, 60.00, 60.00 degrees
With the nearest neighbours (Å) after each atom.
Fractional positions:
1 Al 0.5000 0.5000 0.5000  4 Nb 2.77
2 Nb 0.2500 0.2500 0.2500  4 Np 2.77, 4 Al 2.77
3 Np 0.0000 0.0000 0.0000  4 Nb 2.77

Output
Energy above the most stable polymorph in this dataset, eV/f.u.: 0.00
Space group: No. 216
E, eV/atom: -8.22

5.
Density functional theory data (GGA-PBE) for a geometry-optimized Nb2AlO4 structure.

Cell lengths 6.0425, 6.0425, 6.0425 Å; angles 119.99, 90.01, 119.99 degrees
With the nearest neighbours (Å) after each atom.
Fractional positions:
1 Al 0.0000 0.0000 0.0000  4 O 1.74
2 Al 0.7500 0.5000 0.2500  4 O 1.74
3 Nb 0.3750 0.7500 0.1250  6 O 2.20
4 Nb 0.3750 0.7500 0.6250  6 O 2.20
5 Nb 0.8750 0.2500 0.6250  6 O 2.20
6 Nb 0.3750 0.2500 0.6250  6 O 2.20
7 O 0.1174 0.2348 0.3522  1 Al 1.74
8 O 0.1022 0.7348 0.3674  1 Al 1.74
9 O 0.6325 0.2652 0.3674  1 Al 1.74
10 O 0.6326 0.7348 0.3675  1 Al 1.74
11 O 0.1174 0.7652 0.8825  1 Al 1.74
12 O 0.1175 0.2348 0.8826  1 Al 1.74
13 O 0.6478 0.7652 0.8826  1 Al 1.74
14 O 0.6326 0.2652 0.8978  1 Al 1.74

Output
Space group: No. 227
E, eV/atom: -8.51

6.
Density functional theory data (GGA-PBE) for a geometry-optimized NbAlO4 structure.

Cell lengths 6.3801, 6.3801, 6.5100 Å; angles 107.03, 107.03, 34.45 degrees
With the nearest neighbours (Å) after each atom.
Fractional positions:
1 Al 0.7956 0.7994 0.1750  6 O 1.84-1.97
2 Al 0.2006 0.2044 0.8250  6 O 1.84-1.97
3 Nb 0.1024 0.1063 0.2376  4 O 1.81-1.98
4 Nb 0.8937 0.8976 0.7624  4 O 1.81-1.98
5 O 0.9395 0.9442 0.1374  1 Al 1.85, 1 Nb 1.89
6 O 0.2620 0.2658 0.1424  3 Al 1.93-1.97
7 O 0.6413 0.6452 0.2034  1 Al 1.94, 2 Nb 1.98
8 O 0.8583 0.8612 0.4705  1 Nb 1.81, 1 Al 1.84
9 O 0.1388 0.1417 0.5295  1 Nb 1.81, 1 Al 1.84
10 O 0.3548 0.3587 0.7966  1 Al 1.94, 2 Nb 1.98
11 O 0.7342 0.7380 0.8576  3 Al 1.93-1.97
12 O 0.0558 0.0605 0.8626  1 Al 1.85, 1 Nb 1.89

Output
Space group: No. 12
E, eV/atom: -8.37

7.
Density functional theory data (GGA-PBE) for a geometry-optimized NbAlPO structure.

Cell lengths 3.6086, 6.8932, 5.0200 Å; angles 90.00, 90.00, 90.00 degrees
With the nearest neighbours (Å) after each atom.
Fractional positions:
1 Al 0.5000 0.8942 0.0450  2 O 1.80-1.81
2 Al 0.5000 0.1058 0.5450  2 O 1.80-1.81
3 Nb 0.0000 0.6357 0.4086  2 O 2.40, 3 P 2.45-2.62
4 Nb 0.0000 0.3643 0.9086  2 O 2.40, 3 P 2.45-2.62
5 O 0.5000 0.8649 0.4017  2 Al 1.80-1.81
6 O 0.5000 0.1351 0.9017  2 Al 1.80-1.81
7 P 0.0000 0.2810 0.3987  2 Al 2.29, 2 Nb 2.45-2.53
8 P 0.0000 0.7190 0.8987  2 Al 2.29, 2 Nb 2.45-2.53

Output
Energy above the most stable polymorph in this dataset, eV/f.u.: 0.96
Space group: No. 26
E, eV/atom: -7.12

8.
Density functional theory data (GGA-PBE) for a geometry-optimized NbAlPO structure.

Cell lengths 3.7640, 3.7640, 9.3259 Å; angles 90.00, 90.00, 90.00 degrees
With the nearest neighbours (Å) after each atom.
Fractional positions:
1 Al 0.5000 0.5000 0.0703  4 O 1.99
2 Al 0.0000 0.0000 0.9297  4 O 1.99
3 Nb 0.5000 0.0000 0.5000  4 P 2.55, 4 Nb 2.66
4 Nb 0.0000 0.5000 0.5000  4 P 2.55, 4 Nb 2.66
5 O 0.5000 0.0000 0.0000  4 Al 1.99
6 O 0.0000 0.5000 0.0000  4 Al 1.99
7 P 0.5000 0.5000 0.3154  1 Al 2.29, 4 Nb 2.55
8 P 0.0000 0.0000 0.6846  1 Al 2.29, 4 Nb 2.55

Output
Energy above the most stable polymorph in this dataset, eV/f.u.: 0.00
Space group: No. 129
E, eV/atom: -7.36